A plane-wave DFT calculation with PBE was carried out for a relaxed MnIn2BiS6 crystal.

Computed properties:
Its crystal system is monoclinic. As for the uncorrected formation energy: -432.7 meV/atom. For the total energy, the calculation gives -4.76 eV/atom. As for the total moment: 0.400 μB per atom.

Unit cell a=8.558 b=8.558 c=6.770 alpha=97.62 beta=97.62 gamma=87.88
Positions (direct):
Mn 0.235 0.765 0.750
Mn 0.765 0.235 0.250
In 0.086 0.263 0.791
In 0.263 0.086 0.291
In 0.737 0.914 0.709
In 0.914 0.737 0.209
Bi 0.404 0.596 0.250
Bi 0.596 0.404 0.750
S 0.031 0.231 0.137
S 0.134 0.630 0.433
S 0.231 0.031 0.637
S 0.281 0.488 0.852
S 0.370 0.866 0.067
S 0.488 0.281 0.352
S 0.512 0.719 0.648
S 0.630 0.134 0.933
S 0.719 0.512 0.148
S 0.769 0.969 0.363
S 0.866 0.370 0.567
S 0.969 0.769 0.863

A plane-wave DFT calculation with PBE was carried out for a relaxed ZnCu3B crystal.

Computed properties:
Its crystal system is cubic. The value obtained for the distance to the lowest polymorph of the same formula is 6.48 eV per formula unit. For the total energy, the calculation gives -2.54 eV/atom. The value obtained for the formation energy from the elements is 730 kJ/mol of formula units. As for the total moment: 0.000 μB per atom.

Unit cell a=4.427 b=4.427 c=4.427 alpha=90.00 beta=90.00 gamma=90.00
Positions (direct):
Zn 0.000 0.000 0.000
Cu 0.000 0.000 0.500
Cu 0.000 0.500 0.000
Cu 0.500 0.000 0.000
B 0.500 0.500 0.500

A plane-wave DFT calculation with PBE was carried out for a relaxed Na2NpBS5 crystal.

Computed properties:
Its crystal system is orthorhombic. As for the uncorrected formation energy: -847.7 meV/atom. For the total energy, the calculation gives -5.61 eV/atom. As for the total moment: 0.222 μB per atom.

Unit cell a=8.755 b=8.755 c=12.606 alpha=90.00 beta=90.00 gamma=155.20
Positions (direct):
Na 0.096 0.904 0.500
Na 0.107 0.893 0.179
Na 0.893 0.107 0.679
Na 0.904 0.096 0.000
Np 0.200 0.800 0.873
Np 0.800 0.200 0.373
B 0.423 0.577 0.240
B 0.577 0.423 0.740
S 0.051 0.949 0.837
S 0.305 0.695 0.513
S 0.314 0.686 0.220
S 0.343 0.657 0.848
S 0.487 0.513 0.127
S 0.513 0.487 0.627
S 0.657 0.343 0.348
S 0.686 0.314 0.720
S 0.695 0.305 0.013
S 0.949 0.051 0.337

A plane-wave DFT calculation with PBE was carried out for a relaxed K3Y3TcO8 crystal.

Computed properties:
Its crystal system is trigonal. As for the uncorrected formation energy: -2474.5 meV/atom. For the total energy, the calculation gives -7.32 eV/atom. As for the total moment: 0.200 μB per atom.

Unit cell a=7.409 b=7.409 c=7.409 alpha=54.54 beta=54.54 gamma=54.54
Positions (direct):
K 0.000 0.500 0.500
K 0.500 0.000 0.500
K 0.500 0.500 0.000
Y 0.000 0.000 0.500
Y 0.000 0.500 0.000
Y 0.500 0.000 0.000
Tc 0.500 0.500 0.500
O 0.228 0.228 0.228
O 0.252 0.711 0.711
O 0.289 0.289 0.748
O 0.289 0.748 0.289
O 0.711 0.252 0.711
O 0.711 0.711 0.252
O 0.748 0.289 0.289
O 0.772 0.772 0.772

A plane-wave DFT calculation with PBE was carried out for a relaxed TaInSe crystal.

Computed properties:
Its crystal system is cubic. As for the uncorrected formation energy: 595.5 meV/atom. The value obtained for the distance to the lowest polymorph of the same formula is 2.55 eV per formula unit. For the total energy, the calculation gives -5.43 eV/atom. As for the total moment: 0.000 μB per atom.

Unit cell a=4.638 b=4.638 c=4.638 alpha=60.00 beta=60.00 gamma=60.00
Positions (direct):
Ta 0.000 0.000 0.000
In 0.750 0.750 0.750
Se 0.250 0.250 0.250

A plane-wave DFT calculation with PBE was carried out for a relaxed VGeOsW2 crystal.

Computed properties:
Its crystal system is tetragonal. For the total energy, the calculation gives -8.46 eV/atom. The value obtained for the formation energy from the elements is 825 kJ/mol of formula units. As for the total moment: 0.000 μB per atom.

Unit cell a=4.559 b=4.559 c=4.498 alpha=90.00 beta=90.00 gamma=90.00
Positions (direct):
V 0.000 0.000 0.000
Ge 0.500 0.500 0.500
Os 0.000 0.000 0.500
W 0.000 0.500 0.000
W 0.500 0.000 0.000

A plane-wave DFT calculation with PBE was carried out for a relaxed Li6SnHg5 crystal.

Computed properties:
Its crystal system is monoclinic. For the total energy, the calculation gives -1.78 eV/atom. The value obtained for the formation energy from the elements is -425 kJ/mol of formula units. As for the total moment: 0.000 μB per atom.

Unit cell a=8.182 b=8.182 c=4.683 alpha=106.59 beta=106.59 gamma=119.50
Positions (direct):
Li 0.078 0.416 0.747
Li 0.245 0.245 0.245
Li 0.416 0.078 0.747
Li 0.584 0.922 0.253
Li 0.755 0.755 0.755
Li 0.922 0.584 0.253
Sn 0.500 0.500 0.000
Hg 0.000 0.000 0.500
Hg 0.165 0.835 0.000
Hg 0.336 0.664 0.500
Hg 0.664 0.336 0.500
Hg 0.835 0.165 0.000

A plane-wave DFT calculation with PBE was carried out for a relaxed Ba6Na2InPt crystal.

Computed properties:
Its crystal system is monoclinic. For the total energy, the calculation gives -2.51 eV/atom. The value obtained for the formation energy from the elements is -203 kJ/mol of formula units. As for the total moment: 0.000 μB per atom.

Unit cell a=9.281 b=9.281 c=9.267 alpha=119.93 beta=119.93 gamma=90.00
Positions (direct):
Ba 0.239 0.239 0.999
Ba 0.240 0.240 0.479
Ba 0.240 0.760 0.000
Ba 0.760 0.240 0.000
Ba 0.760 0.760 0.521
Ba 0.761 0.761 0.001
Na 0.250 0.750 0.500
Na 0.750 0.250 0.500
In 0.500 0.500 0.000
Pt 0.000 0.000 0.000

A plane-wave DFT calculation with PBE was carried out for a relaxed Cs3LiRe2O8 crystal.

Computed properties:
Its crystal system is trigonal. As for the uncorrected formation energy: -1697.4 meV/atom. For the total energy, the calculation gives -6.63 eV/atom. As for the total moment: 0.143 μB per atom.

Unit cell a=6.338 b=6.338 c=8.342 alpha=90.00 beta=90.00 gamma=120.00
Positions (direct):
Cs 0.000 0.000 0.000
Cs 0.333 0.667 0.676
Cs 0.667 0.333 0.324
Li 0.000 0.000 0.500
Re 0.333 0.667 0.246
Re 0.667 0.333 0.754
O 0.179 0.357 0.324
O 0.179 0.821 0.324
O 0.333 0.667 0.031
O 0.357 0.179 0.676
O 0.643 0.821 0.324
O 0.667 0.333 0.969
O 0.821 0.179 0.676
O 0.821 0.643 0.676

A plane-wave DFT calculation with PBE was carried out for a relaxed YPa2N4 crystal.

Computed properties:
Its crystal system is orthorhombic. As for the uncorrected formation energy: -1593.7 meV/atom. The value obtained for the distance to the lowest polymorph of the same formula is 0.00 eV per formula unit. For the total energy, the calculation gives -9.99 eV/atom. As for the total moment: 0.000 μB per atom.

Unit cell a=6.011 b=6.011 c=10.721 alpha=90.00 beta=90.00 gamma=146.89
Positions (direct):
Y 0.109 0.891 0.750
Y 0.891 0.109 0.250
Pa 0.370 0.630 0.572
Pa 0.370 0.630 0.928
Pa 0.630 0.370 0.072
Pa 0.630 0.370 0.428
N 0.000 0.000 0.000
N 0.000 0.000 0.500
N 0.272 0.728 0.108
N 0.272 0.728 0.392
N 0.469 0.531 0.750
N 0.531 0.469 0.250
N 0.728 0.272 0.608
N 0.728 0.272 0.892

A plane-wave DFT calculation with PBE was carried out for a relaxed Mn2Pd7Au2 crystal.

Computed properties:
Its crystal system is orthorhombic. The value obtained for the distance to the lowest polymorph of the same formula is 0.00 eV per formula unit. For the total energy, the calculation gives -5.68 eV/atom. The value obtained for the formation energy from the elements is -117 kJ/mol of formula units. As for the total moment: 0.864 μB per atom.

Unit cell a=7.322 b=7.322 c=7.322 alpha=146.86 beta=67.89 gamma=122.62
Positions (direct):
Mn 0.198 0.000 0.198
Mn 0.802 0.000 0.802
Pd 0.055 0.714 0.341
Pd 0.194 0.194 0.000
Pd 0.341 0.495 0.846
Pd 0.372 0.714 0.659
Pd 0.622 0.280 0.342
Pd 0.650 0.495 0.154
Pd 0.938 0.280 0.658
Au 0.492 0.992 0.500
Au 0.802 0.802 0.000

A plane-wave DFT calculation with PBE was carried out for a relaxed Ca3Se crystal.

Computed properties:
Its crystal system is hexagonal. As for the uncorrected formation energy: -893.2 meV/atom. The value obtained for the distance to the lowest polymorph of the same formula is 0.06 eV per formula unit. For the total energy, the calculation gives -3.27 eV/atom. As for the total moment: 0.000 μB per atom.

Unit cell a=4.019 b=4.019 c=10.136 alpha=90.00 beta=90.00 gamma=120.00
Positions (direct):
Ca 0.000 0.000 0.000
Ca 0.333 0.667 0.317
Ca 0.333 0.667 0.683
Se 0.000 0.000 0.500

A plane-wave DFT calculation with PBE was carried out for a relaxed CoSeCl crystal.

Computed properties:
Its crystal system is cubic. As for the uncorrected formation energy: 220.9 meV/atom. For the total energy, the calculation gives -3.92 eV/atom. As for the total moment: 0.692 μB per atom.

Unit cell a=4.293 b=4.293 c=4.293 alpha=60.00 beta=60.00 gamma=60.00
Positions (direct):
Co 0.000 0.000 0.000
Se 0.250 0.250 0.250
Cl 0.750 0.750 0.750

A plane-wave DFT calculation with PBE was carried out for a relaxed NpZn2Ge crystal.

Computed properties:
Its crystal system is cubic. The value obtained for the distance to the lowest polymorph of the same formula is 0.71 eV per formula unit. For the total energy, the calculation gives -4.86 eV/atom. The value obtained for the formation energy from the elements is 64 kJ/mol of formula units. As for the total moment: 1.039 μB per atom.

Unit cell a=4.752 b=4.752 c=4.752 alpha=60.00 beta=60.00 gamma=60.00
Positions (direct):
Np 0.000 0.000 0.000
Zn 0.250 0.250 0.250
Zn 0.750 0.750 0.750
Ge 0.500 0.500 0.500

A plane-wave DFT calculation with PBE was carried out for a relaxed HfNbFeBr2 crystal.

Computed properties:
Its crystal system is tetragonal. As for the uncorrected formation energy: 1030.6 meV/atom. For the total energy, the calculation gives -5.34 eV/atom. As for the total moment: 0.582 μB per atom.

Unit cell a=4.984 b=4.984 c=5.540 alpha=90.00 beta=90.00 gamma=90.00
Positions (direct):
Hf 0.000 0.000 0.000
Nb 0.000 0.000 0.500
Fe 0.500 0.500 0.000
Br 0.000 0.500 0.500
Br 0.500 0.000 0.500

A plane-wave DFT calculation with PBE was carried out for a relaxed Ce2NdMnN4 crystal.

Computed properties:
Its crystal system is orthorhombic. As for the uncorrected formation energy: -1131.9 meV/atom. For the total energy, the calculation gives -8.52 eV/atom. As for the total moment: 0.420 μB per atom.

Unit cell a=6.099 b=6.099 c=11.793 alpha=90.00 beta=90.00 gamma=146.88
Positions (direct):
Ce 0.132 0.868 0.551
Ce 0.132 0.868 0.949
Ce 0.868 0.132 0.051
Ce 0.868 0.132 0.449
Nd 0.396 0.604 0.750
Nd 0.604 0.396 0.250
Mn 0.338 0.662 0.250
Mn 0.662 0.338 0.750
N 0.066 0.934 0.750
N 0.231 0.769 0.126
N 0.231 0.769 0.374
N 0.500 0.500 0.000
N 0.500 0.500 0.500
N 0.769 0.231 0.626
N 0.769 0.231 0.874
N 0.934 0.066 0.250

A plane-wave DFT calculation with PBE was carried out for a relaxed ZnNiSn2Hg crystal.

Computed properties:
Its crystal system is tetragonal. For the total energy, the calculation gives -3.04 eV/atom. The value obtained for the formation energy from the elements is 17 kJ/mol of formula units. As for the total moment: 0.000 μB per atom.

Unit cell a=4.971 b=4.971 c=4.738 alpha=90.00 beta=90.00 gamma=90.00
Positions (direct):
Zn 0.000 0.000 0.000
Ni 0.000 0.000 0.500
Sn 0.000 0.500 0.500
Sn 0.500 0.000 0.500
Hg 0.500 0.500 0.000

A plane-wave DFT calculation with PBE was carried out for a relaxed PmAgHgPd crystal.

Computed properties:
Its crystal system is cubic. For the total energy, the calculation gives -3.70 eV/atom. The value obtained for the formation energy from the elements is -163 kJ/mol of formula units. As for the total moment: 0.000 μB per atom.

Unit cell a=4.957 b=4.957 c=4.957 alpha=60.00 beta=60.00 gamma=60.00
Positions (direct):
Pm 0.000 0.000 0.000
Ag 0.750 0.750 0.750
Hg 0.500 0.500 0.500
Pd 0.250 0.250 0.250

A plane-wave DFT calculation with PBE was carried out for a relaxed EuYMgHg crystal.

Computed properties:
Its crystal system is cubic. For the total energy, the calculation gives -4.92 eV/atom. The value obtained for the formation energy from the elements is -102 kJ/mol of formula units. As for the total moment: 1.742 μB per atom.

Unit cell a=5.424 b=5.424 c=5.424 alpha=60.00 beta=60.00 gamma=60.00
Positions (direct):
Eu 0.000 0.000 0.000
Y 0.500 0.500 0.500
Mg 0.750 0.750 0.750
Hg 0.250 0.250 0.250

A plane-wave DFT calculation with PBE was carried out for a relaxed CaAsS3 crystal.

Computed properties:
Its crystal system is cubic. As for the uncorrected formation energy: 531.7 meV/atom. For the total energy, the calculation gives -3.27 eV/atom. As for the total moment: 0.000 μB per atom.

Unit cell a=5.144 b=5.144 c=5.144 alpha=90.00 beta=90.00 gamma=90.00
Positions (direct):
Ca 0.000 0.000 0.000
As 0.500 0.500 0.500
S 0.000 0.000 0.500
S 0.000 0.500 0.000
S 0.500 0.000 0.000